This record from Alexandria describes crystalline Mg2CuMo at its relaxed geometry. The functional is PBE.

The structure in extended XYZ format:
```
4
Lattice="2.8896 0.0000 0.0000 0.0000 2.8896 0.0000 0.0000 0.0000 8.0603" Properties=species:S:1:pos:R:3 pbc="T T T"
Mg 0.0000 0.0000 0.0000
Mg 1.4448 1.4448 2.4765
Cu 1.4448 1.4448 6.2963
Mo 0.0000 0.0000 4.5821
```

Values from the calculation:
The value obtained for the density of states at the Fermi level is 2.194 states/eV/f.u. The density comes out at 5.13 g/cm3. For the energy relative to the elements, the calculation gives 0.72 eV per formula unit. As for the space-group type: P4mm. Its polymorph energy (0 for the lowest one) is 0.10 eV/f.u. The total energy comes out at -4.35 eV per atom. The total magnetic moment comes out at 0.00 μB per formula unit.